[1]
First-principles (PBE) data for crystalline Nd2SiCl at its relaxed geometry, as listed in Alexandria via LeMat-Bulk.

a = 7.4073 Å, b = 7.4073 Å, c = 7.4073 Å
α = 33.28°, β = 33.28°, γ = 33.28°
Fractional coordinates of all 4 atoms:
Nd1 0.2412 0.2412 0.2412
Nd2 0.7588 0.7588 0.7588
Si1 0.5000 0.5000 0.5000
Cl1 0.0000 0.0000 0.0000

Summary:
relative energy among the computed polymorphs = 0.0 meV per atom
crystal system = trigonal
energy relative to the elements, uncorrected = -1.18 eV/atom

[2]
First-principles (PBE) data for crystalline KCoP2Br at its relaxed geometry, as listed in Alexandria via LeMat-Bulk.

a = 4.2279 Å, b = 4.2279 Å, c = 8.7027 Å
α = 90.00°, β = 90.00°, γ = 90.00°
Fractional coordinates of all 5 atoms:
K1 0.0000 0.0000 0.0000
Co1 0.5000 0.5000 0.5000
P1 0.0000 0.5000 0.5000
P2 0.5000 0.0000 0.5000
Br1 0.5000 0.5000 0.0000

Summary:
crystal system = tetragonal
energy relative to the elements, uncorrected = -0.23 eV/atom